Below is an optimized crystal structure of CaMg2IrSe, with properties calculated at the GGA-PBE level.

a = 5.8738 Å, b = 5.0912 Å, c = 5.8738 Å
α = 90.00°, β = 90.00°, γ = 90.00°
Each line ends with the local moment (μB).
Fractional coordinates of all 5 atoms:
Ir1 0.5000 0.5000 0.5000  2.06
Ca1 0.0000 0.0000 0.0000  0.04
Mg1 0.0000 0.0000 0.5000  0.03
Mg2 0.5000 0.0000 0.0000  0.04
Se1 0.0000 0.5000 0.0000  0.11

Properties
DOS(E_F) ... 0.87 states/eV per atom
Calculated total energy ... -0.16539 Ry per atom